Below is a relaxed structure of Ce2P3PtRh12, with properties calculated at the GGA-PBE level.

```
data_Ce2P3PtRh12
_cell_length_a 6.754
_cell_length_b 6.754
_cell_length_c 6.754
_cell_angle_alpha 79.21
_cell_angle_beta 79.21
_cell_angle_gamma 79.21
_symmetry_space_group_name_H-M 'P 1'
_symmetry_Int_Tables_number 1
loop_
_symmetry_equiv_pos_as_xyz
'x,y,z'
loop_
_atom_site_label
_atom_site_fract_x
_atom_site_fract_y
_atom_site_fract_z
_atom_site_occupancy
Ce1 0.114 0.114 0.114 1
Ce2 0.886 0.886 0.886 1
P1 0.000 0.500 0.500 1
P2 0.500 0.000 0.500 1
P3 0.500 0.500 0.000 1
Pt1 0.500 0.500 0.500 1
Rh1 0.144 0.677 0.677 1
Rh2 0.152 0.152 0.590 1
Rh3 0.152 0.590 0.152 1
Rh4 0.323 0.323 0.856 1
Rh5 0.323 0.856 0.323 1
Rh6 0.410 0.848 0.848 1
Rh7 0.590 0.152 0.152 1
Rh8 0.677 0.144 0.677 1
Rh9 0.677 0.677 0.144 1
Rh10 0.848 0.410 0.848 1
Rh11 0.848 0.848 0.410 1
Rh12 0.856 0.323 0.323 1
```

Calculated values
Uncorrected energy ... -7.095 eV per atom
Energy relative to the elements ... -0.298 eV/atom
Size of the total moment ... 0.000 μB/atom